1.
VASP calculation (PBE) on crystalline CaCd2As at its relaxed geometry.

a b c (Å): 6.7683 6.7683 6.7683
angles (deg): 100.08 100.08 130.54
Element x y z (fractional)
Ca (0.0000, 0.0000, 0.0000)
Ca (0.7500, 0.2500, 0.5000)
Cd (0.1857, 0.1250, 0.5607)
Cd (0.3750, 0.8143, 0.9393)
Cd (0.5643, 0.6250, 0.4393)
Cd (0.8750, 0.4357, 0.0607)
As (0.2500, 0.7500, 0.5000)
As (0.5000, 0.5000, 0.0000)

Results
Total energy ... -2.432 eV per atom
Formation energy from the elements ... -0.312 eV/atom
ρ ... 5.27 g cm⁻³
Symmetry ... I-42d, No. 122

=====

2.
VASP calculation (PBE) on crystalline CaCd2As at its relaxed geometry.

a b c (Å): 6.7512 6.7512 3.3100
angles (deg): 104.17 104.17 127.99
Element x y z (fractional)
Ca (0.0000, 0.0000, 0.0000)
Cd (0.0000, 0.5000, 0.0000)
Cd (0.5000, 0.0000, 0.0000)
As (0.5000, 0.5000, 0.0000)

Results
Total energy ... -2.433 eV per atom
Formation energy from the elements ... -0.313 eV/atom
ρ ... 5.72 g cm⁻³
Symmetry ... C2/m, No. 12

=====

3.
VASP calculation (PBE) on crystalline CaCdAs2 at its relaxed geometry.

a b c (Å): 3.8464 3.8464 6.1891
angles (deg): 90.00 90.00 90.00
Element x y z (fractional)
Ca (0.0000, 0.0000, 0.0000)
Cd (0.0000, 0.0000, 0.5000)
As (0.5000, 0.5000, 0.2797)
As (0.5000, 0.5000, 0.7203)

Results
Total energy ... -3.379 eV per atom
Formation energy from the elements ... -0.325 eV/atom
ρ ... 5.48 g cm⁻³
Symmetry ... P4/mmm, No. 123